The following is a GGA-PBE calculation of a geometry-optimized BeFeCuGe structure, from the Open Quantum Materials Database.

It has space group F-43m (No. 216), with a = 5.626 Å, b = 5.626 Å, c = 5.626 Å, α = 90.00°, β = 90.00° and γ = 90.00°. The asymmetric unit holds Be at (0.000, 0.000, 0.000), Fe at (0.250, 0.250, 0.250), Cu at (0.250, 0.250, 0.750) and Ge at (0.000, 0.000, 0.500).


The following is a GGA-PBE calculation of a geometry-optimized ZrOsNO structure, from the Open Quantum Materials Database.

It has space group Pmc2_1 (No. 26), with a = 3.067 Å, b = 6.003 Å, c = 5.633 Å, α = 90.00°, β = 90.00° and γ = 90.00°. The asymmetric unit holds Zr at (0.000, 0.130, 0.000), Os at (0.500, 0.277, 0.592), N at (0.000, 0.213, 0.377) and O at (0.500, 0.381, 0.939).


Number 1: raw total energy -80.55 eV for the cell shown, M_tot 5.53 Bohr magnetons per cell. Number 2: raw total energy -72.70 eV for the cell shown, M_tot 0.01 Bohr magnetons per cell.